# 1
The following is a PBE calculation of a relaxed Ti6FePt2 crystal, from Alexandria.

Geometry as CIF:
```
data_Ti6FePt2
_chemical_formula_sum 'Ti6 Fe1 Pt2'
_symmetry_space_group_name_H-M 'P 1'
_symmetry_Int_Tables_number 1
_cell_length_a 4.275
_cell_length_b 6.031
_cell_length_c 7.308
_cell_angle_alpha 114.37
_cell_angle_beta 106.93
_cell_angle_gamma 90.00
loop_
_symmetry_equiv_pos_as_xyz
'x,y,z'
loop_
_atom_site_label
_atom_site_type_symbol
_atom_site_fract_x
_atom_site_fract_y
_atom_site_fract_z
Ti1 Ti 0.159 0.400 0.317
Ti2 Ti 0.841 0.082 0.683
Ti3 Ti 0.841 0.600 0.683
Ti4 Ti 0.500 0.234 0.000
Ti5 Ti 0.159 0.918 0.317
Ti6 Ti 0.500 0.766 0.000
Fe1 Fe 0.000 0.000 0.000
Pt1 Pt 0.667 0.667 0.334
Pt2 Pt 0.333 0.333 0.666
```

## Properties
- ΔE_f (eV/atom) = -0.302
- crystal system = monoclinic
- E (eV/atom) = -7.85
- magnetic moment (μB per formula unit) = 0.00



# 2
The following is a PBE calculation of a relaxed Ti2Fe2Pt crystal, from Alexandria.

Geometry as CIF:
```
data_Ti2Fe2Pt
_chemical_formula_sum 'Ti4 Fe4 Pt2'
_symmetry_space_group_name_H-M 'P 1'
_symmetry_Int_Tables_number 1
_cell_length_a 6.984
_cell_length_b 6.984
_cell_length_c 2.848
_cell_angle_alpha 90.00
_cell_angle_beta 90.00
_cell_angle_gamma 90.00
loop_
_symmetry_equiv_pos_as_xyz
'x,y,z'
loop_
_atom_site_label
_atom_site_type_symbol
_atom_site_fract_x
_atom_site_fract_y
_atom_site_fract_z
Fe1 Fe 0.149 0.649 0.500
Fe2 Fe 0.649 0.851 0.500
Fe3 Fe 0.851 0.351 0.500
Fe4 Fe 0.351 0.149 0.500
Pt1 Pt 0.000 0.000 0.000
Pt2 Pt 0.500 0.500 0.000
Ti1 Ti 0.350 0.850 0.000
Ti2 Ti 0.850 0.650 0.000
Ti3 Ti 0.650 0.150 0.000
Ti4 Ti 0.150 0.350 0.000
```

## Properties
- ΔE_f (eV/atom) = -0.113
- crystal system = tetragonal
- E above lowest polymorph (meV per atom) = 256
- E (eV/atom) = -7.86
- magnetic moment (μB per formula unit) = 1.16



# 3
The following is a PBE calculation of a relaxed Ti6FePt3 crystal, from Alexandria.

Geometry as CIF:
```
data_Ti6FePt3
_chemical_formula_sum 'Ti6 Fe1 Pt3'
_symmetry_space_group_name_H-M 'P 1'
_symmetry_Int_Tables_number 1
_cell_length_a 6.513
_cell_length_b 6.366
_cell_length_c 6.366
_cell_angle_alpha 57.38
_cell_angle_beta 60.73
_cell_angle_gamma 60.73
loop_
_symmetry_equiv_pos_as_xyz
'x,y,z'
loop_
_atom_site_label
_atom_site_type_symbol
_atom_site_fract_x
_atom_site_fract_y
_atom_site_fract_z
Ti1 Ti 0.358 0.171 0.660
Ti2 Ti 0.642 0.340 0.829
Ti3 Ti 0.642 0.829 0.340
Ti4 Ti 0.358 0.660 0.171
Ti5 Ti 0.134 0.736 0.736
Ti6 Ti 0.866 0.264 0.264
Fe1 Fe 0.500 0.500 0.500
Pt1 Pt 0.271 0.252 0.252
Pt2 Pt 0.729 0.748 0.748
Pt3 Pt 0.000 0.000 0.000
```

## Properties
- ΔE_f (eV/atom) = -0.273
- crystal system = monoclinic
- E (eV/atom) = -7.67
- magnetic moment (μB per formula unit) = 0.00



# 4
The following is a PBE calculation of a relaxed Ti4FePt crystal, from Alexandria.

Geometry as CIF:
```
data_Ti4FePt
_chemical_formula_sum 'Ti4 Fe1 Pt1'
_symmetry_space_group_name_H-M 'P 1'
_symmetry_Int_Tables_number 1
_cell_length_a 4.284
_cell_length_b 4.294
_cell_length_c 7.056
_cell_angle_alpha 72.18
_cell_angle_beta 72.33
_cell_angle_gamma 60.08
loop_
_symmetry_equiv_pos_as_xyz
'x,y,z'
loop_
_atom_site_label
_atom_site_type_symbol
_atom_site_fract_x
_atom_site_fract_y
_atom_site_fract_z
Ti1 Ti 0.633 0.633 0.102
Ti2 Ti 0.367 0.367 0.898
Ti3 Ti 0.117 0.116 0.651
Ti4 Ti 0.883 0.884 0.349
Fe1 Fe 0.000 0.000 0.000
Pt1 Pt 0.500 0.500 0.500
```

## Properties
- ΔE_f (eV/atom) = -0.232
- crystal system = monoclinic
- E (eV/atom) = -7.91
- magnetic moment (μB per formula unit) = 0.00



# 5
The following is a PBE calculation of a relaxed TiFe4Pt5 crystal, from Alexandria.

Geometry as CIF:
```
data_TiFe4Pt5
_chemical_formula_sum 'Ti1 Fe4 Pt5'
_symmetry_space_group_name_H-M 'P 1'
_symmetry_Int_Tables_number 1
_cell_length_a 3.277
_cell_length_b 3.277
_cell_length_c 13.608
_cell_angle_alpha 90.00
_cell_angle_beta 90.00
_cell_angle_gamma 90.00
loop_
_symmetry_equiv_pos_as_xyz
'x,y,z'
loop_
_atom_site_label
_atom_site_type_symbol
_atom_site_fract_x
_atom_site_fract_y
_atom_site_fract_z
Ti1 Ti 0.000 0.000 0.000
Fe1 Fe 0.000 0.000 0.206
Fe2 Fe 0.000 0.000 0.405
Fe3 Fe 0.000 0.000 0.595
Fe4 Fe 0.000 0.000 0.794
Pt1 Pt 0.500 0.500 0.102
Pt2 Pt 0.500 0.500 0.301
Pt3 Pt 0.500 0.500 0.500
Pt4 Pt 0.500 0.500 0.699
Pt5 Pt 0.500 0.500 0.898
```

## Properties
- ΔE_f (eV/atom) = -0.320
- crystal system = tetragonal
- E (eV/atom) = -7.51
- magnetic moment (μB per formula unit) = 0.31



# 6
The following is a PBE calculation of a relaxed TiFePt3 crystal, from Alexandria.

Geometry as CIF:
```
data_TiFePt3
_chemical_formula_sum 'Ti2 Fe2 Pt6'
_symmetry_space_group_name_H-M 'P 1'
_symmetry_Int_Tables_number 1
_cell_length_a 4.721
_cell_length_b 4.707
_cell_length_c 7.460
_cell_angle_alpha 84.30
_cell_angle_beta 71.60
_cell_angle_gamma 71.87
loop_
_symmetry_equiv_pos_as_xyz
'x,y,z'
loop_
_atom_site_label
_atom_site_type_symbol
_atom_site_fract_x
_atom_site_fract_y
_atom_site_fract_z
Ti1 Ti 0.353 0.345 0.011
Ti2 Ti 0.058 0.844 0.603
Fe1 Fe 0.850 0.845 0.019
Fe2 Fe 0.561 0.344 0.596
Pt1 Pt 0.149 0.344 0.421
Pt2 Pt 0.954 0.344 0.811
Pt3 Pt 0.652 0.844 0.415
Pt4 Pt 0.759 0.345 0.199
Pt5 Pt 0.262 0.845 0.194
Pt6 Pt 0.457 0.845 0.804
```

## Properties
- ΔE_f (eV/atom) = -0.615
- crystal system = triclinic
- E above lowest polymorph (meV per atom) = 0
- E (eV/atom) = -7.51
- magnetic moment (μB per formula unit) = 2.99



# 7
The following is a PBE calculation of a relaxed Ti6Fe5Pt crystal, from Alexandria.

Geometry as CIF:
```
data_Ti6Fe5Pt
_chemical_formula_sum 'Ti6 Fe5 Pt1'
_symmetry_space_group_name_H-M 'P 1'
_symmetry_Int_Tables_number 1
_cell_length_a 4.232
_cell_length_b 6.045
_cell_length_c 6.672
_cell_angle_alpha 90.00
_cell_angle_beta 71.51
_cell_angle_gamma 90.00
loop_
_symmetry_equiv_pos_as_xyz
'x,y,z'
loop_
_atom_site_label
_atom_site_type_symbol
_atom_site_fract_x
_atom_site_fract_y
_atom_site_fract_z
Fe1 Fe 0.666 0.500 0.667
Fe2 Fe 0.334 0.000 0.333
Fe3 Fe 0.000 0.500 0.000
Fe4 Fe 0.666 0.000 0.667
Fe5 Fe 0.334 0.500 0.333
Pt1 Pt 0.000 0.000 0.000
Ti1 Ti 0.828 0.746 0.344
Ti2 Ti 0.828 0.254 0.344
Ti3 Ti 0.500 0.263 0.000
Ti4 Ti 0.500 0.737 0.000
Ti5 Ti 0.172 0.746 0.656
Ti6 Ti 0.172 0.254 0.656
```

## Properties
- ΔE_f (eV/atom) = -0.459
- crystal system = orthorhombic
- E (eV/atom) = -8.44
- magnetic moment (μB per formula unit) = 1.43



# 8
The following is a PBE calculation of a relaxed Ti3FePt12 crystal, from Alexandria.

Geometry as CIF:
```
data_Ti3FePt12
_chemical_formula_sum 'Ti3 Fe1 Pt12'
_symmetry_space_group_name_H-M 'P 1'
_symmetry_Int_Tables_number 1
_cell_length_a 3.939
_cell_length_b 3.939
_cell_length_c 15.777
_cell_angle_alpha 90.00
_cell_angle_beta 90.00
_cell_angle_gamma 90.00
loop_
_symmetry_equiv_pos_as_xyz
'x,y,z'
loop_
_atom_site_label
_atom_site_type_symbol
_atom_site_fract_x
_atom_site_fract_y
_atom_site_fract_z
Ti1 Ti 0.000 0.000 0.245
Ti2 Ti 0.000 0.000 0.500
Ti3 Ti 0.000 0.000 0.755
Fe1 Fe 0.000 0.000 0.000
Pt1 Pt 0.500 0.500 0.000
Pt2 Pt 0.500 0.500 0.250
Pt3 Pt 0.500 0.500 0.500
Pt4 Pt 0.500 0.500 0.750
Pt5 Pt 0.500 0.000 0.125
Pt6 Pt 0.500 0.000 0.375
Pt7 Pt 0.500 0.000 0.625
Pt8 Pt 0.500 0.000 0.875
Pt9 Pt 0.000 0.500 0.125
Pt10 Pt 0.000 0.500 0.375
Pt11 Pt 0.000 0.500 0.625
Pt12 Pt 0.000 0.500 0.875
```

## Properties
- ΔE_f (eV/atom) = -0.719
- crystal system = tetragonal
- E (eV/atom) = -7.26
- magnetic moment (μB per formula unit) = 4.77